[1]
Entry from the Alexandria database: CuP2Pt after structural relaxation (GGA-PBE).

POSCAR file:
```
CuP2Pt
1.0
2.6564 -3.3062 0.0000
2.6564 3.3062 0.0000
0.0000 0.0000 3.2529
Cu P Pt
1 2 1
direct
0.0000 0.0000 0.0000
0.0000 0.5000 0.5000
0.5000 0.0000 0.5000
0.5000 0.5000 0.0000
```

Results
relative energy among the computed polymorphs = 1.05 eV per formula unit
total magnetization = 0.00 μB per cell

=====

[2]
Entry from the Alexandria database: CuPPt4 after structural relaxation (GGA-PBE).

POSCAR file:
```
CuPPt4
1.0
0.0000 3.7080 3.7080
3.7080 0.0000 3.7080
3.7080 3.7080 0.0000
Cu P Pt
1 1 4
direct
0.0000 0.0000 0.0000
0.7500 0.7500 0.7500
0.3749 0.3749 0.3749
0.3749 0.3749 0.8753
0.3749 0.8753 0.3749
0.8753 0.3749 0.3749
```

Results
total magnetization = 0.00 μB per cell
electronic total energy = -0.3815 Ry per atom

=====

[3]
Entry from the Alexandria database: CuP2Pt after structural relaxation (GGA-PBE).

POSCAR file:
```
CuP2Pt
1.0
-1.6087 2.2722 3.8715
1.6087 -2.2722 3.8715
1.6087 2.2722 -3.8715
Cu P Pt
1 2 1
direct
0.0000 0.0000 0.0000
0.2385 0.7385 0.5000
0.4591 0.4591 0.0000
0.7118 0.2118 0.5000
```

Results
relative energy among the computed polymorphs = 1.14 eV per formula unit
total magnetization = 0.00 μB per cell

=====

[4]
Entry from the Alexandria database: Cu4PPt after structural relaxation (GGA-PBE).

POSCAR file:
```
Cu4PPt
1.0
0.0000 3.4062 3.4062
3.4062 0.0000 3.4062
3.4062 3.4062 0.0000
Cu P Pt
4 1 1
direct
0.1249 0.1249 0.1249
0.1249 0.1249 0.6252
0.1249 0.6252 0.1249
0.6252 0.1249 0.1249
0.5000 0.5000 0.5000
0.7500 0.7500 0.7500
```

Results
total magnetization = 0.00 μB per cell
electronic total energy = -0.3282 Ry per atom

=====

[5]
Entry from the Alexandria database: CuP2Pt after structural relaxation (GGA-PBE).

POSCAR file:
```
CuP2Pt
1.0
0.0000 3.0674 3.0674
3.0674 0.0000 3.0674
3.0674 3.0674 0.0000
Cu P Pt
1 2 1
direct
0.0000 0.0000 0.0000
0.5000 0.5000 0.5000
0.7500 0.7500 0.7500
0.2500 0.2500 0.2500
```

Results
relative energy among the computed polymorphs = 1.94 eV per formula unit
total magnetization = 0.00 μB per cell

=====

[6]
Entry from the Alexandria database: CuPPt after structural relaxation (GGA-PBE).

POSCAR file:
```
CuPPt
1.0
-1.6419 1.6484 4.0356
1.6419 -1.6484 4.0356
1.6419 1.6484 -4.0356
Cu P Pt
1 1 1
direct
0.0000 0.0000 0.0000
0.2913 0.2913 0.0000
0.6793 0.6793 0.0000
```

Results
relative energy among the computed polymorphs = 0.28 eV per formula unit
total magnetization = 0.00 μB per cell